Crystalline Ti7Bi2H2Se at its relaxed geometry, computed with PBE.

Results
magnetic moment: 0.0 μB per formula unit
electronic total energy: -77.06 eV for the cell shown

Cell and atoms, written as POSCAR:
```
Ti7Bi2H2Se
1.0
4.1481 -0.0032 0.0198
0.0019 4.1481 0.0198
2.0691 2.0665 10.9222
Ti Bi H Se
7 2 2 1
Direct
0.5000 0.5000 0.0000 Ti
0.3117 0.3117 0.3660 Ti
0.6883 0.6883 0.6340 Ti
0.9124 0.4120 0.1713 Ti
0.4120 0.9124 0.1713 Ti
0.5880 0.0876 0.8287 Ti
0.0876 0.5880 0.8287 Ti
0.8115 0.8115 0.3672 Bi
0.1885 0.1885 0.6328 Bi
0.5928 0.5928 0.8189 H
0.4072 0.4072 0.1811 H
0.0000 0.0000 0.0000 Se
```


Crystalline TiBiHSe2 at its relaxed geometry, computed with PBE.

Results
magnetic moment: 1.1 μB per formula unit
electronic total energy: -22.42 eV for the cell shown

Cell and atoms, written as POSCAR:
```
TiBiHSe2
1.0
5.0991 0.0000 0.0000
0.0000 3.5228 0.0000
0.0000 0.0000 5.0991
H Bi Se Ti
1 1 2 1
Direct
0.0000 0.0000 0.0000 H
0.5000 0.5000 0.5000 Bi
0.0000 0.0000 0.5000 Se
0.5000 0.0000 0.0000 Se
0.0000 0.5000 0.0000 Ti
```


Crystalline BiH2WSe at its relaxed geometry, computed with PBE.

Results
magnetic moment: 0.2 μB per formula unit
electronic total energy: -23.14 eV for the cell shown

Cell and atoms, written as POSCAR:
```
BiH2WSe
1.0
3.7700 0.0000 0.0000
0.0000 5.8237 0.0000
0.0000 0.0000 3.7700
H Se Bi W
2 1 1 1
Direct
0.0000 0.0000 0.5000 H
0.5000 0.0000 0.0000 H
0.5000 0.5000 0.5000 Se
0.0000 0.0000 0.0000 Bi
0.0000 0.5000 0.0000 W
```


Crystalline Zr7Bi2H2Se at its relaxed geometry, computed with PBE.

Results
magnetic moment: 0.0 μB per formula unit
electronic total energy: -82.37 eV for the cell shown

Cell and atoms, written as POSCAR:
```
Zr7Bi2H2Se
1.0
4.3099 0.0041 0.0881
0.0093 4.3099 0.0881
2.3447 2.3418 12.4394
Zr Bi H Se
7 2 2 1
Direct
0.5000 0.5000 0.0000 Zr
0.2560 0.2560 0.3969 Zr
0.7440 0.7440 0.6031 Zr
0.8921 0.3905 0.1821 Zr
0.3905 0.8921 0.1821 Zr
0.6095 0.1079 0.8179 Zr
0.1079 0.6095 0.8179 Zr
0.7815 0.7815 0.3640 Bi
0.2185 0.2185 0.6360 Bi
0.6037 0.6037 0.8252 H
0.3963 0.3963 0.1748 H
0.0000 0.0000 0.0000 Se
```


Crystalline SiBiH3 at its relaxed geometry, computed with PBE.

Results
magnetic moment: 0.0 μB per formula unit
E above lowest polymorph: 0 meV/atom
electronic total energy: -16.22 eV for the cell shown

Cell and atoms, written as POSCAR:
```
SiBiH3
1.0
3.7895 0.0000 0.0000
0.0000 3.7895 0.0000
0.0000 0.0000 3.7895
H Si Bi
3 1 1
Direct
0.0000 0.5000 0.0000 H
0.0000 0.0000 0.5000 H
0.5000 0.0000 0.0000 H
0.0000 0.0000 0.0000 Si
0.5000 0.5000 0.5000 Bi
```


Crystalline SiBiH2 at its relaxed geometry, computed with PBE.

Results
magnetic moment: 0.0 μB per formula unit
E above lowest polymorph: 0 meV/atom
electronic total energy: -28.42 eV for the cell shown

Cell and atoms, written as POSCAR:
```
SiBiH2
1.0
5.5170 0.0000 0.0000
0.0000 5.5170 0.0000
2.7585 2.7585 3.8998
H Si Bi
4 2 2
Direct
0.3759 0.1250 0.2500 H
0.3741 0.6250 0.2500 H
0.3750 0.6241 0.7500 H
0.8750 0.6259 0.7500 H
0.5000 0.5000 0.0000 Si
0.2500 0.7500 0.5000 Si
0.0000 0.0000 0.0000 Bi
0.7500 0.2500 0.5000 Bi
```


Crystalline SiBiH2 at its relaxed geometry, computed with PBE.

Results
magnetic moment: 0.0 μB per formula unit
E above lowest polymorph: 396 meV/atom
electronic total energy: -12.63 eV for the cell shown

Cell and atoms, written as POSCAR:
```
SiBiH2
1.0
0.0000 2.9761 2.9761
2.9761 0.0000 2.9761
2.9761 2.9761 0.0000
H Si Bi
2 1 1
Direct
0.2500 0.2500 0.2500 H
0.7500 0.7500 0.7500 H
0.0000 0.0000 0.0000 Si
0.5000 0.5000 0.5000 Bi
```


Crystalline Si2BiH at its relaxed geometry, computed with PBE.

Results
magnetic moment: 0.0 μB per formula unit
E above lowest polymorph: 389 meV/atom
electronic total energy: -14.14 eV for the cell shown

Cell and atoms, written as POSCAR:
```
Si2BiH
1.0
-0.8898 -4.6245 0.6130
-4.3062 -1.7411 -0.9894
-0.6118 -2.8207 -3.7714
H Si Bi
1 2 1
Direct
0.0000 0.0000 0.0000 H
0.2500 0.2500 0.2500 Si
0.7500 0.7500 0.7500 Si
0.5000 0.5000 0.5000 Bi
```


Crystalline Si2BiH at its relaxed geometry, computed with PBE.

Results
magnetic moment: 0.0 μB per formula unit
E above lowest polymorph: 0 meV/atom
electronic total energy: -31.40 eV for the cell shown

Cell and atoms, written as POSCAR:
```
Si2BiH
1.0
4.8507 0.0000 0.0000
0.0000 4.8507 0.0000
2.4254 2.4254 6.4014
H Si Bi
2 4 2
Direct
0.5000 0.5000 0.0000 H
0.2500 0.7500 0.5000 H
0.3096 0.1250 0.2500 Si
0.4404 0.6250 0.2500 Si
0.3750 0.6904 0.7500 Si
0.8750 0.5596 0.7500 Si
0.0000 0.0000 0.0000 Bi
0.7500 0.2500 0.5000 Bi
```


Crystalline Si3BiH at its relaxed geometry, computed with PBE.

Results
magnetic moment: 0.5 μB per formula unit
E above lowest polymorph: 1210 meV/atom
electronic total energy: -13.66 eV for the cell shown

Cell and atoms, written as POSCAR:
```
Si3BiH
1.0
5.5427 0.0000 0.0000
0.0000 5.5427 0.0000
0.0000 0.0000 5.5427
H Si Bi
1 3 1
Direct
0.5000 0.5000 0.5000 H
0.0000 0.5000 0.0000 Si
0.0000 0.0000 0.5000 Si
0.5000 0.0000 0.0000 Si
0.0000 0.0000 0.0000 Bi
```


Crystalline SiBi3H at its relaxed geometry, computed with PBE.

Results
magnetic moment: 0.0 μB per formula unit
E above lowest polymorph: 0 meV/atom
electronic total energy: -17.44 eV for the cell shown

Cell and atoms, written as POSCAR:
```
SiBi3H
1.0
-1.6709 0.7165 -4.5409
-4.4258 -1.5575 1.3828
-1.2433 4.5810 1.1804
H Si Bi
1 1 3
Direct
0.0000 0.0000 0.0000 H
0.5000 0.5000 0.5000 Si
0.0000 0.5000 0.0000 Bi
0.0000 0.0000 0.5000 Bi
0.5000 0.0000 0.0000 Bi
```


Crystalline SiBiH3 at its relaxed geometry, computed with PBE.

Results
magnetic moment: 0.0 μB per formula unit
E above lowest polymorph: 404 meV/atom
electronic total energy: -14.20 eV for the cell shown

Cell and atoms, written as POSCAR:
```
SiBiH3
1.0
-3.0631 0.8564 2.6632
-2.6935 0.1640 -3.1507
-0.7557 -4.0557 0.4349
H Si Bi
3 1 1
Direct
0.0000 0.5000 0.0000 H
0.0000 0.0000 0.5000 H
0.5000 0.0000 0.0000 H
0.5000 0.5000 0.5000 Si
0.0000 0.0000 0.0000 Bi
```